(1)
Here is a geometry-optimized Sr2LiMgSe structure from the Alexandria database. Energies are from PBE-GGA.

magnetic moment = 0.282 μB/f.u.
density of states at the Fermi level = 5.106 states/eV per cell
E_form (uncorrected) = -0.656 eV per atom
final energy = -2.73 eV per atom

Unit cell a=6.0909 b=6.0909 c=4.8153 alpha=90.00 beta=90.00 gamma=90.00
With the nearest neighbours (Å) after each atom.
Fractional coordinates of all 5 atoms:
Li 0.0000 0.0000 0.5000  2 Se 2.41
Mg 0.5000 0.5000 0.5000  8 Sr 3.88, 4 Li 4.31
Sr 0.0000 0.5000 0.0000  2 Se 3.05
Sr 0.5000 0.0000 0.0000  2 Se 3.05
Se 0.0000 0.0000 0.0000  2 Li 2.41


(2)
Here is a geometry-optimized LiTb2MgSe4 structure from the Alexandria database. Energies are from PBE-GGA.

magnetic moment = 0.000 μB/f.u.
density of states at the Fermi level = 2.788 states/eV per cell
E_form (uncorrected) = -1.576 eV per atom
final energy = -4.91 eV per atom

Unit cell a=4.0050 b=6.9804 c=6.9162 alpha=71.03 beta=90.00 gamma=90.00
With the nearest neighbours (Å) after each atom.
Fractional coordinates of all 8 atoms:
Se 0.0000 0.7368 0.7512  1 Mg 2.76, 2 Li 2.80, 3 Tb 2.89-2.90
Se 0.0000 0.2632 0.2488  1 Mg 2.76, 2 Li 2.80, 3 Tb 2.89-2.90
Se 0.5000 0.2670 0.7442  1 Li 2.77, 2 Mg 2.78, 3 Tb 2.89-2.91
Se 0.5000 0.7330 0.2558  1 Li 2.77, 2 Mg 2.78, 3 Tb 2.89-2.91
Mg 0.0000 0.5000 0.5000  6 Se 2.76-2.78
Tb 0.0000 0.0000 0.0000  6 Se 2.90-2.91
Tb 0.5000 0.0000 0.5000  6 Se 2.89
Li 0.5000 0.5000 0.0000  6 Se 2.77-2.80